! Sr2MnAlCu2O7 | the Alexandria database | GGA+U | relaxed; values from VASP
! Crystal system: orthorhombic
! Size of the total moment (μB per cell): 7.99
! E_tot (eV per atom): -6.30
&SYSTEM
  ibrav = 0, nat = 26, ntyp = 5
/
ATOMIC_SPECIES
Sr 87.62 Sr.upf
Al 26.98 Al.upf
O 16.00 O.upf
Mn 54.94 Mn.upf
Cu 63.55 Cu.upf
ATOMIC_POSITIONS crystal
Sr 0.6401 0.1539 0.3347
Sr 0.8437 0.3576 0.1303
Sr 0.3576 0.8437 0.6303
Sr 0.1539 0.6401 0.8347
Al 0.4993 0.9984 0.4765
Al 0.9984 0.4993 0.9765
O 0.6653 0.1739 0.8059
O 0.2682 0.1221 0.7078
O 0.3755 0.2303 0.2465
O 0.8310 0.1666 0.1363
O 0.8754 0.7296 0.1016
O 0.2303 0.3755 0.7465
O 0.7296 0.8754 0.6016
O 0.3321 0.8239 0.1474
O 0.7672 0.6223 0.8535
O 0.1666 0.8310 0.6363
O 0.6223 0.7672 0.3535
O 0.8239 0.3321 0.6474
O 0.1739 0.6653 0.3059
O 0.1221 0.2682 0.2078
Mn 0.8102 0.1874 0.7715
Mn 0.1874 0.8102 0.2715
Cu 0.4401 0.9416 0.0349
Cu 0.9416 0.4401 0.5349
Cu 0.5574 0.0564 0.9201
Cu 0.0564 0.5574 0.4201
CELL_PARAMETERS angstrom
10.2857 -5.3078 4.1649
11.8379 -3.3057 -0.5010
2.4209 4.0080 2.5252